Entry from the Alexandria database: a relaxed structure of Rb2Cd6Pt (PBE).

The magnetization comes out at 0.00 μB per cell. The value obtained for the uncorrected energy is -1.569 eV per atom. Its crystal system is monoclinic. The calculation puts the calculated formation energy at -0.073 eV/atom.

The space group is C2/m (No. 12) and the conventional cell measures 11.868, 6.870 and 6.328 Å, with angles of 90.00, 90.11 and 90.00 degrees. The distinct sites, in fractional coordinates, are Rb at (0.166, 0.000, 0.167), Cd at (0.085, 0.249, 0.687), Cd at (0.169, 0.500, 0.312) and Pt at (0.000, 0.500, 0.000).